1.
ReAu | the Alexandria database | PBE | relaxed; V = 32.3 Å³/f.u.; Fermi-level density of states = 1.27 states/eV per cell; ΔE_f = 0.646 eV/atom
1.0
2.7487 0.0000 0.0000
0.0000 2.7487 0.0000
0.0000 0.0000 4.2753
Re Au
1 1
direct
0.0000 0.0000 0.0000 Re
0.5000 0.5000 0.5000 Au



2.
HfZr2TlSn | the Alexandria database | PBE | relaxed; V = 149.0 Å³/f.u.; Fermi-level density of states = 5.40 states/eV per cell; ΔE_f = 0.909 eV/atom
1.0
5.2151 0.0000 0.0000
0.0000 5.2151 0.0000
0.0000 0.0000 5.4799
Hf Zr Tl Sn
1 2 1 1
direct
0.0000 0.0000 0.0000 Hf
0.0000 0.5000 0.0000 Zr
0.5000 0.0000 0.0000 Zr
0.0000 0.0000 0.5000 Tl
0.5000 0.5000 0.5000 Sn



Please write out number 2 again, unchanged.
HfZr2TlSn | the Alexandria database | PBE | relaxed; V = 149.0 Å³/f.u.; Fermi-level density of states = 5.40 states/eV per cell; ΔE_f = 0.909 eV/atom
1.0
5.2151 0.0000 0.0000
0.0000 5.2151 0.0000
0.0000 0.0000 5.4799
Hf Zr Tl Sn
1 2 1 1
direct
0.0000 0.0000 0.0000 Hf
0.0000 0.5000 0.0000 Zr
0.5000 0.0000 0.0000 Zr
0.0000 0.0000 0.5000 Tl
0.5000 0.5000 0.5000 Sn